No. 1
The following is a PBE calculation of an optimized crystal structure of Y3CoRu, from Alexandria.

Calculated values
ΔH_f (0 K) = 30.3 kJ per mole of atoms
offset from the most stable computed form = 0 meV/atom
uncorrected energy = -34.203 eV/cell
total magnetic moment = 0.0 μB/f.u.

abc: 5.013 5.013 5.013
angles: 90.00 90.00 90.00
Fractional positions:
Y  0.000  0.500  0.000
Y  0.000  0.000  0.500
Ru  0.500  0.500  0.500
Y  0.500  0.000  0.000
Co  0.000  0.000  0.000



No. 2
The following is a PBE calculation of an optimized crystal structure of YCoRu2, from Alexandria.

Calculated values
ΔH_f (0 K) = 15.8 kJ per mole of atoms
offset from the most stable computed form = 21 meV/atom
uncorrected energy = -31.466 eV/cell
total magnetic moment = 1.8 μB/f.u.

abc: 3.083 3.083 6.928
angles: 90.00 90.00 90.03
Fractional positions:
Y  0.000  0.000  0.507
Co  0.500  0.500  0.805
Ru  0.500  0.500  0.204
Ru  0.000  0.000  0.984



No. 3
The following is a PBE calculation of an optimized crystal structure of YCo2Ru, from Alexandria.

Calculated values
ΔH_f (0 K) = 15.9 kJ per mole of atoms
offset from the most stable computed form = 216 meV/atom
uncorrected energy = -29.292 eV/cell
total magnetic moment = 2.2 μB/f.u.

abc: 4.023 3.031 5.316
angles: 73.48 90.00 90.00
Fractional positions:
Y  0.500  0.791  0.792
Co  0.000  0.176  0.023
Ru  0.000  0.481  0.413
Co  0.500  0.052  0.273